# 1
# Dy4Ni13C4 (PBEsol, optimized geometry)
data_Dy4Ni13C4
_space_group_name_H-M_alt 'P 1'
_space_group_IT_number 1
_cell_length_a 8.2610
_cell_length_b 8.2610
_cell_length_c 3.7971
_cell_angle_alpha 90.00
_cell_angle_beta 90.00
_cell_angle_gamma 91.21
loop_
_space_group_symop_operation_xyz
'x,y,z'
loop_
_atom_site_label
_atom_site_fract_x
_atom_site_fract_y
_atom_site_fract_z
Dy1 0.1879 0.8121 0.0000
Dy2 0.3483 0.3483 0.0000
Dy3 0.6517 0.6517 0.0000
Dy4 0.8121 0.1879 0.0000
Ni1 0.0000 0.0000 0.5000
Ni2 0.0000 0.5000 0.0000
Ni3 0.0744 0.2902 0.5000
Ni4 0.1229 0.1229 0.0000
Ni5 0.2151 0.5700 0.5000
Ni6 0.2902 0.0744 0.5000
Ni7 0.4300 0.7849 0.5000
Ni8 0.5000 0.0000 0.0000
Ni9 0.5700 0.2151 0.5000
Ni10 0.7098 0.9256 0.5000
Ni11 0.7849 0.4300 0.5000
Ni12 0.8771 0.8771 0.0000
Ni13 0.9256 0.7098 0.5000
C1 0.0000 0.5000 0.5000
C2 0.4423 0.5577 0.5000
C3 0.5000 0.0000 0.5000
C4 0.5577 0.4423 0.5000
# * N(E_F): 9.7 states/eV per cell
# * total moment: 0.0 μB/f.u.
# * V: 259.1 Å³ per cell
# * mass density: 9.4 g cm⁻³
# * ΔE_f: -0.385 eV/atom

=====

# 2
# DyNiC2 (PBEsol, optimized geometry)
data_DyNiC2
_space_group_name_H-M_alt 'P 1'
_space_group_IT_number 1
_cell_length_a 3.5369
_cell_length_b 3.7112
_cell_length_c 3.7112
_cell_angle_alpha 74.16
_cell_angle_beta 90.00
_cell_angle_gamma 90.00
loop_
_space_group_symop_operation_xyz
'x,y,z'
loop_
_atom_site_label
_atom_site_fract_x
_atom_site_fract_y
_atom_site_fract_z
Dy1 0.0000 0.0000 0.0000
Ni1 0.5000 0.3893 0.3893
C1 0.5000 0.5465 0.8538
C2 0.5000 0.8538 0.5465
# * N(E_F): 1.1 states/eV per cell
# * total moment: 0.0 μB/f.u.
# * V: 46.9 Å³ per cell
# * mass density: 8.7 g cm⁻³
# * ΔE_f: -0.405 eV/atom

=====

# 3
# DyCO4 (PBEsol, optimized geometry)
data_DyCO4
_space_group_name_H-M_alt 'P 1'
_space_group_IT_number 1
_cell_length_a 11.8001
_cell_length_b 11.8001
_cell_length_c 9.6095
_cell_angle_alpha 90.00
_cell_angle_beta 90.00
_cell_angle_gamma 120.00
loop_
_space_group_symop_operation_xyz
'x,y,z'
loop_
_atom_site_label
_atom_site_fract_x
_atom_site_fract_y
_atom_site_fract_z
Dy1 0.1045 0.5541 0.2466
Dy2 0.1045 0.5541 0.7534
Dy3 0.1126 0.2278 0.2581
Dy4 0.1126 0.2278 0.7419
Dy5 0.1152 0.8874 0.2581
Dy6 0.1152 0.8874 0.7419
Dy7 0.4395 0.2183 0.2444
Dy8 0.4395 0.2183 0.7556
Dy9 0.4459 0.5504 0.2466
Dy10 0.4459 0.5504 0.7534
Dy11 0.4496 0.8955 0.2466
Dy12 0.4496 0.8955 0.7534
Dy13 0.7722 0.8848 0.2581
Dy14 0.7722 0.8848 0.7419
Dy15 0.7788 0.5605 0.2444
Dy16 0.7788 0.5605 0.7556
Dy17 0.7817 0.2212 0.2444
Dy18 0.7817 0.2212 0.7556
C1 0.1660 0.6957 0.5000
C2 0.1993 0.0235 0.0000
C3 0.2058 0.0933 0.5000
C4 0.2212 0.7598 0.0000
C5 0.2402 0.4614 0.0000
C6 0.3043 0.4703 0.5000
C7 0.4962 0.3583 0.5000
C8 0.5297 0.8340 0.5000
C9 0.5386 0.7788 0.0000
C10 0.5525 0.4261 0.0000
C11 0.5739 0.1264 0.0000
C12 0.6417 0.1379 0.5000
C13 0.8243 0.8007 0.0000
C14 0.8621 0.5038 0.5000
C15 0.8736 0.4475 0.0000
C16 0.8876 0.7942 0.5000
C17 0.9067 0.1124 0.5000
C18 0.9765 0.1757 0.0000
O1 0.0000 0.0000 0.2483
O2 0.0000 0.0000 0.7517
O3 0.0003 0.3365 0.3044
O4 0.0003 0.3365 0.6956
O5 0.0322 0.1752 0.5000
O6 0.0902 0.1848 0.0000
O7 0.0946 0.9098 0.0000
O8 0.1431 0.9678 0.5000
O9 0.1527 0.6342 0.0000
O10 0.1586 0.5828 0.5000
O11 0.1666 0.7479 0.3825
O12 0.1666 0.7479 0.6175
O13 0.1778 0.4330 0.1166
O14 0.1778 0.4330 0.8834
O15 0.2370 0.1558 0.3833
O16 0.2370 0.1558 0.6167
O17 0.2498 0.0771 0.1173
O18 0.2498 0.0771 0.8827
O19 0.2521 0.4187 0.3825
O20 0.2521 0.4187 0.6175
O21 0.2552 0.8222 0.1166
O22 0.2552 0.8222 0.8834
O23 0.3296 0.3285 0.1942
O24 0.3296 0.3285 0.8058
O25 0.3333 0.6667 0.2541
O26 0.3333 0.6667 0.7459
O27 0.3363 0.9997 0.3044
O28 0.3363 0.9997 0.6956
O29 0.3658 0.5186 0.0000
O30 0.4172 0.5758 0.5000
O31 0.4242 0.8414 0.5000
O32 0.4814 0.8473 0.0000
O33 0.4851 0.2435 0.5000
O34 0.4920 0.3008 0.0000
O35 0.4993 0.4110 0.3820
O36 0.4993 0.4110 0.6180
O37 0.5107 0.0934 0.1162
O38 0.5107 0.0934 0.8838
O39 0.5670 0.7448 0.1166
O40 0.5670 0.7448 0.8834
O41 0.5813 0.8334 0.3825
O42 0.5813 0.8334 0.6175
O43 0.5827 0.4893 0.1162
O44 0.5827 0.4893 0.8838
O45 0.5890 0.0882 0.3820
O46 0.5890 0.0882 0.6180
O47 0.6635 0.6637 0.3044
O48 0.6635 0.6637 0.6956
O49 0.6667 0.3333 0.2484
O50 0.6667 0.3333 0.7516
O51 0.6715 0.0011 0.1942
O52 0.6715 0.0011 0.8058
O53 0.6992 0.1912 0.0000
O54 0.7565 0.2416 0.5000
O55 0.7584 0.5149 0.5000
O56 0.8088 0.5080 0.0000
O57 0.8152 0.9054 0.0000
O58 0.8248 0.8569 0.5000
O59 0.8273 0.7502 0.1173
O60 0.8273 0.7502 0.8827
O61 0.8442 0.0811 0.3833
O62 0.8442 0.0811 0.6167
O63 0.9066 0.4173 0.1162
O64 0.9066 0.4173 0.8838
O65 0.9118 0.5007 0.3820
O66 0.9118 0.5007 0.6180
O67 0.9189 0.7630 0.3833
O68 0.9189 0.7630 0.6167
O69 0.9229 0.1727 0.1173
O70 0.9229 0.1727 0.8827
O71 0.9989 0.6704 0.1942
O72 0.9989 0.6704 0.8058
# * N(E_F): 30.2 states/eV per cell
# * total moment: 1.0 μB/f.u.
# * V: 1158.8 Å³ per cell
# * mass density: 6.2 g cm⁻³
# * E_form (uncorrected): -2.09 eV per atom

=====

# 4
# Dy2CO5 (PBEsol, optimized geometry)
data_Dy2CO5
_space_group_name_H-M_alt 'P 1'
_space_group_IT_number 1
_cell_length_a 15.0360
_cell_length_b 3.7977
_cell_length_c 3.7977
_cell_angle_alpha 118.87
_cell_angle_beta 90.00
_cell_angle_gamma 90.00
loop_
_space_group_symop_operation_xyz
'x,y,z'
loop_
_atom_site_label
_atom_site_fract_x
_atom_site_fract_y
_atom_site_fract_z
Dy1 0.0930 0.1675 0.8325
Dy2 0.4070 0.1675 0.8325
Dy3 0.5930 0.8325 0.1675
Dy4 0.9070 0.8325 0.1675
C1 0.2500 0.4211 0.3477
C2 0.7500 0.3477 0.4211
O1 0.0574 0.8338 0.1705
O2 0.1735 0.5144 0.5282
O3 0.2500 0.2225 0.9642
O4 0.3265 0.5144 0.5282
O5 0.4426 0.8338 0.1705
O6 0.5574 0.1705 0.8338
O7 0.6735 0.5282 0.5144
O8 0.7500 0.9642 0.2225
O9 0.8265 0.5282 0.5144
O10 0.9426 0.1705 0.8338
# * ΔE to the lowest computed polymorph: 0.002 eV per atom
# * N(E_F): 0.0 states/eV per cell
# * total moment: 0.0 μB/f.u.
# * V: 189.9 Å³ per cell
# * mass density: 7.3 g cm⁻³
# * E_form (uncorrected): -2.88 eV per atom

=====

# 5
# Dy2CO5 (PBEsol, optimized geometry)
data_Dy2CO5
_space_group_name_H-M_alt 'P 1'
_space_group_IT_number 1
_cell_length_a 3.8646
_cell_length_b 3.8646
_cell_length_c 15.0077
_cell_angle_alpha 90.00
_cell_angle_beta 90.00
_cell_angle_gamma 122.13
loop_
_space_group_symop_operation_xyz
'x,y,z'
loop_
_atom_site_label
_atom_site_fract_x
_atom_site_fract_y
_atom_site_fract_z
Dy1 0.1649 0.8351 0.5931
Dy2 0.1649 0.8351 0.9069
Dy3 0.8351 0.1649 0.0931
Dy4 0.8351 0.1649 0.4069
C1 0.4260 0.5740 0.7500
C2 0.5740 0.4260 0.2500
O1 0.1636 0.8364 0.0575
O2 0.1636 0.8364 0.4425
O3 0.2375 0.7625 0.7500
O4 0.4847 0.5153 0.1735
O5 0.4847 0.5153 0.3265
O6 0.5153 0.4847 0.6735
O7 0.5153 0.4847 0.8265
O8 0.7625 0.2375 0.2500
O9 0.8364 0.1636 0.5575
O10 0.8364 0.1636 0.9425
# * ΔE to the lowest computed polymorph: 0.000 eV per atom
# * N(E_F): 0.0 states/eV per cell
# * total moment: 0.0 μB/f.u.
# * V: 189.8 Å³ per cell
# * mass density: 7.3 g cm⁻³
# * E_form (uncorrected): -2.88 eV per atom

=====

# 6
# Dy3PbC (PBEsol, optimized geometry)
data_Dy3PbC
_space_group_name_H-M_alt 'P 1'
_space_group_IT_number 1
_cell_length_a 4.8476
_cell_length_b 4.8476
_cell_length_c 4.8476
_cell_angle_alpha 90.00
_cell_angle_beta 90.00
_cell_angle_gamma 90.00
loop_
_space_group_symop_operation_xyz
'x,y,z'
loop_
_atom_site_label
_atom_site_fract_x
_atom_site_fract_y
_atom_site_fract_z
Dy1 0.0000 0.0000 0.5000
Dy2 0.0000 0.5000 0.0000
Dy3 0.5000 0.0000 0.0000
Pb1 0.5000 0.5000 0.5000
C1 0.0000 0.0000 0.0000
# * N(E_F): 1.9 states/eV per cell
# * total moment: 0.0 μB/f.u.
# * V: 113.9 Å³ per cell
# * mass density: 10.3 g cm⁻³
# * ΔE_f: -0.591 eV/atom

=====

# 7
# PrDyC4 (PBEsol, optimized geometry)
data_PrDyC4
_space_group_name_H-M_alt 'P 1'
_space_group_IT_number 1
_cell_length_a 3.7250
_cell_length_b 3.7250
_cell_length_c 6.3240
_cell_angle_alpha 90.00
_cell_angle_beta 90.00
_cell_angle_gamma 90.00
loop_
_space_group_symop_operation_xyz
'x,y,z'
loop_
_atom_site_label
_atom_site_fract_x
_atom_site_fract_y
_atom_site_fract_z
Pr1 0.0000 0.0000 0.0000
Dy1 0.5000 0.5000 0.5000
C1 0.0000 0.0000 0.3979
C2 0.0000 0.0000 0.6021
C3 0.5000 0.5000 0.1034
C4 0.5000 0.5000 0.8966
# * N(E_F): 1.7 states/eV per cell
# * total moment: 0.0 μB/f.u.
# * V: 87.7 Å³ per cell
# * mass density: 6.7 g cm⁻³
# * ΔE_f: -0.112 eV/atom

=====

# 8
# Dy12Re5C15 (PBEsol, optimized geometry)
data_Dy12Re5C15
_space_group_name_H-M_alt 'P 1'
_space_group_IT_number 1
_cell_length_a 10.6214
_cell_length_b 10.6214
_cell_length_c 5.0342
_cell_angle_alpha 90.00
_cell_angle_beta 90.00
_cell_angle_gamma 120.00
loop_
_space_group_symop_operation_xyz
'x,y,z'
loop_
_atom_site_label
_atom_site_fract_x
_atom_site_fract_y
_atom_site_fract_z
Dy1 0.0000 0.4272 0.0000
Dy2 0.0000 0.7952 0.0000
Dy3 0.1866 0.7299 0.5000
Dy4 0.2048 0.2048 0.0000
Dy5 0.2701 0.4566 0.5000
Dy6 0.4272 0.0000 0.0000
Dy7 0.4566 0.2701 0.5000
Dy8 0.5434 0.8134 0.5000
Dy9 0.5728 0.5728 0.0000
Dy10 0.7299 0.1866 0.5000
Dy11 0.7952 0.0000 0.0000
Dy12 0.8134 0.5434 0.5000
Re1 0.0000 0.1520 0.5000
Re2 0.1520 0.0000 0.5000
Re3 0.3333 0.6667 0.0000
Re4 0.6667 0.3333 0.0000
Re5 0.8480 0.8480 0.5000
C1 0.0000 0.3334 0.5000
C2 0.0000 0.4608 0.5000
C3 0.0000 0.7842 0.5000
C4 0.1872 0.7201 0.0000
C5 0.2158 0.2158 0.5000
C6 0.2799 0.4672 0.0000
C7 0.3334 0.0000 0.5000
C8 0.4608 0.0000 0.5000
C9 0.4672 0.2799 0.0000
C10 0.5328 0.8128 0.0000
C11 0.5392 0.5392 0.5000
C12 0.6666 0.6666 0.5000
C13 0.7201 0.1872 0.0000
C14 0.7842 0.0000 0.5000
C15 0.8128 0.5328 0.0000
# * N(E_F): 8.5 states/eV per cell
# * total moment: 0.0 μB/f.u.
# * V: 491.8 Å³ per cell
# * mass density: 10.3 g cm⁻³
# * ΔE_f: -0.392 eV/atom

=====

# 9
# Dy2ReC2 (PBEsol, optimized geometry)
data_Dy2ReC2
_space_group_name_H-M_alt 'P 1'
_space_group_IT_number 1
_cell_length_a 6.5094
_cell_length_b 5.0567
_cell_length_c 9.7454
_cell_angle_alpha 90.00
_cell_angle_beta 90.00
_cell_angle_gamma 90.00
loop_
_space_group_symop_operation_xyz
'x,y,z'
loop_
_atom_site_label
_atom_site_fract_x
_atom_site_fract_y
_atom_site_fract_z
Dy1 0.0320 0.2500 0.2154
Dy2 0.1795 0.2500 0.5555
Dy3 0.3205 0.7500 0.0555
Dy4 0.4680 0.7500 0.7154
Dy5 0.5320 0.2500 0.2846
Dy6 0.6795 0.2500 0.9445
Dy7 0.8205 0.7500 0.4445
Dy8 0.9680 0.7500 0.7846
Re1 0.2193 0.2500 0.8668
Re2 0.2807 0.7500 0.3668
Re3 0.7193 0.2500 0.6332
Re4 0.7807 0.7500 0.1332
C1 0.0472 0.7500 0.2412
C2 0.1754 0.7500 0.5512
C3 0.3246 0.2500 0.0512
C4 0.4528 0.2500 0.7412
C5 0.5472 0.7500 0.2588
C6 0.6754 0.7500 0.9488
C7 0.8246 0.2500 0.4488
C8 0.9528 0.2500 0.7588
# * N(E_F): 7.0 states/eV per cell
# * total moment: 0.0 μB/f.u.
# * V: 320.8 Å³ per cell
# * mass density: 11.1 g cm⁻³
# * ΔE_f: -0.452 eV/atom

=====

# 10
# DyRh3C (PBEsol, optimized geometry)
data_DyRh3C
_space_group_name_H-M_alt 'P 1'
_space_group_IT_number 1
_cell_length_a 4.1166
_cell_length_b 4.1166
_cell_length_c 4.1166
_cell_angle_alpha 90.00
_cell_angle_beta 90.00
_cell_angle_gamma 90.00
loop_
_space_group_symop_operation_xyz
'x,y,z'
loop_
_atom_site_label
_atom_site_fract_x
_atom_site_fract_y
_atom_site_fract_z
Dy1 0.0000 0.0000 0.0000
Rh1 0.0000 0.5000 0.5000
Rh2 0.5000 0.0000 0.5000
Rh3 0.5000 0.5000 0.0000
C1 0.5000 0.5000 0.5000
# * N(E_F): 0.6 states/eV per cell
# * total moment: 0.0 μB/f.u.
# * V: 69.8 Å³ per cell
# * mass density: 11.5 g cm⁻³
# * ΔE_f: -0.548 eV/atom

=====

# 11
# DyRu3C (PBEsol, optimized geometry)
data_DyRu3C
_space_group_name_H-M_alt 'P 1'
_space_group_IT_number 1
_cell_length_a 4.1031
_cell_length_b 4.1031
_cell_length_c 4.1031
_cell_angle_alpha 90.00
_cell_angle_beta 90.00
_cell_angle_gamma 90.00
loop_
_space_group_symop_operation_xyz
'x,y,z'
loop_
_atom_site_label
_atom_site_fract_x
_atom_site_fract_y
_atom_site_fract_z
Dy1 0.0000 0.0000 0.0000
Ru1 0.0000 0.5000 0.5000
Ru2 0.5000 0.0000 0.5000
Ru3 0.5000 0.5000 0.0000
C1 0.5000 0.5000 0.5000
# * N(E_F): 3.5 states/eV per cell
# * total moment: 0.0 μB/f.u.
# * V: 69.1 Å³ per cell
# * mass density: 11.5 g cm⁻³
# * ΔE_f: -0.223 eV/atom

=====

# 12
# DySiRu2C (PBEsol, optimized geometry)
data_DySiRu2C
_space_group_name_H-M_alt 'P 1'
_space_group_IT_number 1
_cell_length_a 5.8135
_cell_length_b 5.8135
_cell_length_c 7.0590
_cell_angle_alpha 90.00
_cell_angle_beta 90.00
_cell_angle_gamma 142.11
loop_
_space_group_symop_operation_xyz
'x,y,z'
loop_
_atom_site_label
_atom_site_fract_x
_atom_site_fract_y
_atom_site_fract_z
Dy1 0.0478 0.9522 0.7500
Dy2 0.9522 0.0478 0.2500
Si1 0.2309 0.7691 0.2500
Si2 0.7691 0.2309 0.7500
Ru1 0.3356 0.6644 0.5575
Ru2 0.3356 0.6644 0.9425
Ru3 0.6644 0.3356 0.0575
Ru4 0.6644 0.3356 0.4425
C1 0.5000 0.5000 0.0000
C2 0.5000 0.5000 0.5000
# * N(E_F): 5.1 states/eV per cell
# * total moment: 0.0 μB/f.u.
# * V: 146.5 Å³ per cell
# * mass density: 9.2 g cm⁻³
# * E_form (uncorrected): -0.64 eV per atom